First-principles (PBEsol) data for Zn2CoTe after structural relaxation, as listed in the Alexandria database.

Raw formation energy (kJ/mol of atoms): 24.7
Calculated total energy (Ry per atom): -0.2463

Lattice parameters (Å, degrees): 4.0418 4.1923 4.0540 90.00 100.02 90.00
Space group P2/m (No. 10)
Asymmetric unit:
1 Zn 0.1998 0.0000 0.2998 (multiplicity 2)
2 Co 0.0000 0.5000 0.5000 (multiplicity 1)
3 Te 0.5000 0.5000 0.0000 (multiplicity 1)